# 1
Here is a relaxed structure of Ti2BeGaC from Alexandria via LeMat-Bulk. Energies are from PBE.

Summary:
Energy of formation from the pure elements = -425 meV/atom
Relative energy among the computed polymorphs = 34 meV per atom
Total energy = -6.779 eV per atom

a = 4.2298 Å, b = 4.2298 Å, c = 3.5371 Å
α = 90.00°, β = 90.00°, γ = 90.00°
Space group P4/mmm (No. 123)
Symmetry-distinct sites (fractional):
Ti 0.0000 0.5000 0.0000 [2 per cell]
Be 0.0000 0.0000 0.5000 [1 per cell]
Ga 0.5000 0.5000 0.5000 [1 per cell]
C 0.0000 0.0000 0.0000 [1 per cell]

=====

# 2
Here is a relaxed structure of Tm2BeGaC from Alexandria via LeMat-Bulk. Energies are from PBE.

Summary:
Energy of formation from the pure elements = -434 meV/atom
Total energy = -5.418 eV per atom

a = 6.4576 Å, b = 3.5550 Å, c = 8.1948 Å
α = 90.00°, β = 109.01°, γ = 90.00°
Space group P2_1/m (No. 11)
Symmetry-distinct sites (fractional):
Tm 0.1978 0.2500 0.3792 [2 per cell]
Tm 0.2118 0.2500 0.9711 [2 per cell]
Be 0.4476 0.7500 0.2456 [2 per cell]
Ga 0.3058 0.7500 0.6973 [2 per cell]
C 0.1740 0.7500 0.1706 [2 per cell]

=====

# 3
Here is a relaxed structure of Be2VGaC from Alexandria via LeMat-Bulk. Energies are from PBE.

Summary:
Energy of formation from the pure elements = 2403 meV/atom
Total energy = -3.362 eV per atom

a = 4.2450 Å, b = 4.2450 Å, c = 4.7345 Å
α = 90.00°, β = 90.00°, γ = 90.00°
Space group P4/mmm (No. 123)
Symmetry-distinct sites (fractional):
Be 0.0000 0.5000 0.0000 [2 per cell]
V 0.0000 0.0000 0.0000 [1 per cell]
Ga 0.0000 0.0000 0.5000 [1 per cell]
C 0.5000 0.5000 0.5000 [1 per cell]

=====

# 4
Here is a relaxed structure of Y2BeGaC from Alexandria via LeMat-Bulk. Energies are from PBE.

Summary:
Energy of formation from the pure elements = -379 meV/atom
Relative energy among the computed polymorphs = 41 meV per atom
Total energy = -6.160 eV per atom

a = 5.0695 Å, b = 5.0695 Å, c = 3.4963 Å
α = 90.00°, β = 90.00°, γ = 90.00°
Space group P4/mmm (No. 123)
Symmetry-distinct sites (fractional):
Y 0.0000 0.5000 0.0000 [2 per cell]
Be 0.0000 0.0000 0.5000 [1 per cell]
Ga 0.5000 0.5000 0.5000 [1 per cell]
C 0.0000 0.0000 0.0000 [1 per cell]

=====

# 5
Here is a relaxed structure of Y2BeGaC from Alexandria via LeMat-Bulk. Energies are from PBE.

Summary:
Energy of formation from the pure elements = -420 meV/atom
Relative energy among the computed polymorphs = 0 meV per atom
Total energy = -6.201 eV per atom

a = 6.5270 Å, b = 3.6272 Å, c = 8.3355 Å
α = 90.00°, β = 108.99°, γ = 90.00°
Space group P2_1/m (No. 11)
Symmetry-distinct sites (fractional):
Y 0.2012 0.2500 0.3813 [2 per cell]
Y 0.2134 0.2500 0.9699 [2 per cell]
Be 0.4470 0.7500 0.2441 [2 per cell]
Ga 0.3109 0.7500 0.6981 [2 per cell]
C 0.1763 0.7500 0.1711 [2 per cell]

=====

# 6
Here is a relaxed structure of BeGeC from Alexandria via LeMat-Bulk. Energies are from PBE.

Summary:
Energy of formation from the pure elements = 596 meV/atom
Relative energy among the computed polymorphs = 72 meV per atom
Total energy = -5.260 eV per atom

a = 3.0351 Å, b = 3.0363 Å, c = 4.1255 Å
α = 89.71°, β = 89.83°, γ = 60.11°
Space group P1 (No. 1)
Symmetry-distinct sites (fractional):
Be 0.0000 0.0000 0.0000 [1 per cell]
Ge 0.6674 0.6707 0.5513 [1 per cell]
C 0.3335 0.3352 0.8413 [1 per cell]

=====

# 7
Here is a relaxed structure of BeGeC2 from Alexandria via LeMat-Bulk. Energies are from PBE.

Summary:
Energy of formation from the pure elements = 2037 meV/atom
Relative energy among the computed polymorphs = 1065 meV per atom
Total energy = -4.661 eV per atom

a = 5.3125 Å, b = 5.3125 Å, c = 5.3125 Å
α = 90.00°, β = 90.00°, γ = 90.00°
Space group Fm-3m (No. 225)
Symmetry-distinct sites (fractional):
Be 0.0000 0.0000 0.0000 [4 per cell]
Ge 0.0000 0.0000 0.5000 [4 per cell]
C 0.2500 0.2500 0.2500 [8 per cell]

=====

# 8
Here is a relaxed structure of BeGeC from Alexandria via LeMat-Bulk. Energies are from PBE.

Summary:
Energy of formation from the pure elements = 626 meV/atom
Relative energy among the computed polymorphs = 102 meV per atom
Total energy = -5.230 eV per atom

a = 3.1535 Å, b = 3.1535 Å, c = 3.9671 Å
α = 90.00°, β = 90.00°, γ = 120.00°
Space group P-6m2 (No. 187)
Symmetry-distinct sites (fractional):
Be 0.0000 0.0000 0.0000 [1 per cell]
Ge 0.3333 0.6667 0.5000 [1 per cell]
C 0.3333 0.6667 0.0000 [1 per cell]

=====

| no. | spin magnetization (μB/f.u.) |
| --- | --- |
| 1 | 0.00 |
| 2 | 0.00 |
| 3 | 0.17 |
| 4 | 0.00 |
| 5 | 0.00 |
| 6 | 0.00 |
| 7 | 0.00 |
| 8 | 0.00 |